Computed, not measured: a relaxed structure of Np3US4 at the PBE level of DFT.

Results
- spin magnetization (μB per cell) = 14.70
- polymorph energy (0 for the lowest one) (eV/atom) = 0.000
- energy relative to the elements, uncorrected (eV per formula unit) = -10.865
- crystal system = cubic
- energy (eV for the cell shown) = -77.49
- calculated volume (Å³/atom) = 20.84

Cell lengths 5.504, 5.504, 5.504 Å; angles 90.00, 90.00, 90.00 degrees
Element x y z (fractional)
Np  0.000  0.000  0.500
Np  0.000  0.500  0.000
Np  0.500  0.000  0.000
U  0.500  0.500  0.500
S  0.000  0.000  0.000
S  0.000  0.500  0.500
S  0.500  0.000  0.500
S  0.500  0.500  0.000


Computed, not measured: a relaxed structure of AcNd4Cu4 at the PBE level of DFT.

Results
- spin magnetization (μB per cell) = 0.00
- crystal system = tetragonal
- E_form (kcal/mol of atoms) = -0.039
- energy (eV for the cell shown) = -79.16
- calculated volume (Å³/atom) = 28.31

Cell lengths 9.370, 9.370, 5.805 Å; angles 90.00, 90.00, 90.00 degrees
Element x y z (fractional)
Ac  0.250  0.250  0.250
Ac  0.750  0.750  0.750
Nd  0.084  0.657  0.149
Nd  0.157  0.916  0.649
Nd  0.343  0.584  0.649
Nd  0.416  0.843  0.149
Nd  0.584  0.157  0.851
Nd  0.657  0.416  0.351
Nd  0.843  0.084  0.351
Nd  0.916  0.343  0.851
Cu  0.032  0.599  0.635
Cu  0.099  0.968  0.135
Cu  0.401  0.532  0.135
Cu  0.468  0.901  0.635
Cu  0.532  0.099  0.365
Cu  0.599  0.468  0.865
Cu  0.901  0.032  0.865
Cu  0.968  0.401  0.365